(1)
Here is a relaxed CeGaPt3 crystal from Alexandria. Energies are from PBE-GGA.

POSCAR file:
```
CeGaPt3
1.0
-2.040 2.040 5.751
2.040 -2.040 5.751
2.040 2.040 -5.751
Ce Ga Pt
1 1 3
direct
0.000 0.000 0.000 Ce
0.643 0.643 0.000 Ga
0.271 0.771 0.500 Pt
0.433 0.433 0.000 Pt
0.771 0.271 0.500 Pt
```

Summary:
Crystal system ... tetragonal
Formation energy from the elements ... -0.90 eV per atom
Relative energy among the computed polymorphs ... 0 kJ/mol of formula units

(2)
Here is a relaxed Tb3Dy crystal from Alexandria. Energies are from PBE-GGA.

POSCAR file:
```
Tb3Dy
1.0
-1.811 5.665 3.130
1.811 -5.665 3.130
1.811 5.665 -3.130
Tb Dy
3 1
direct
0.000 0.000 0.000 Tb
0.418 0.668 0.750 Tb
0.917 0.668 0.250 Tb
0.499 0.999 0.500 Dy
```

Summary:
Crystal system ... orthorhombic
Formation energy from the elements ... 0.01 eV per atom
Relative energy among the computed polymorphs ... 0 kJ/mol of formula units

(3)
Here is a relaxed PuPaCl2 crystal from Alexandria. Energies are from PBE-GGA.

POSCAR file:
```
PuPaCl2
1.0
1.693 0.977 9.879
-1.693 0.977 9.879
0.000 -1.955 9.879
Pu Pa Cl
1 1 2
direct
0.000 0.000 0.000 Pu
0.500 0.500 0.500 Pa
0.404 0.404 0.404 Cl
0.596 0.596 0.596 Cl
```

Summary:
Crystal system ... trigonal
E_form (uncorrected) ... -336 kJ/mol of formula units

(4)
Here is a relaxed Tb6Nd2HoEr crystal from Alexandria. Energies are from PBE-GGA.

POSCAR file:
```
Tb6Nd2HoEr
1.0
4.517 -7.547 0.000
4.517 7.547 0.000
-1.499 0.000 9.598
Tb Nd Ho Er
12 4 2 2
direct
0.020 0.576 0.188 Tb
0.125 0.746 0.557 Tb
0.254 0.875 0.943 Tb
0.292 0.502 0.380 Tb
0.424 0.980 0.312 Tb
0.498 0.708 0.120 Tb
0.502 0.292 0.880 Tb
0.576 0.020 0.688 Tb
0.708 0.498 0.620 Tb
0.746 0.125 0.057 Tb
0.875 0.254 0.443 Tb
0.980 0.424 0.812 Tb
0.194 0.298 0.042 Nd
0.298 0.194 0.542 Nd
0.702 0.806 0.458 Nd
0.806 0.702 0.958 Nd
0.018 0.982 0.250 Ho
0.982 0.018 0.750 Ho
0.407 0.593 0.750 Er
0.593 0.407 0.250 Er
```

Summary:
Crystal system ... monoclinic
Formation energy from the elements ... 0.12 eV per atom

(5)
Here is a relaxed BaSrWN3 crystal from Alexandria. Energies are from PBE-GGA.

POSCAR file:
```
BaSrWN3
1.0
6.965 -2.012 0.000
6.965 2.012 0.000
-2.443 0.000 7.802
Ba Sr W N
2 2 2 6
direct
0.143 0.143 0.067 Ba
0.857 0.857 0.933 Ba
0.165 0.165 0.587 Sr
0.835 0.835 0.413 Sr
0.500 0.500 0.315 W
0.500 0.500 0.685 W
0.000 0.000 0.330 N
0.000 0.000 0.670 N
0.359 0.359 0.177 N
0.362 0.362 0.690 N
0.638 0.638 0.310 N
0.641 0.641 0.823 N
```

Summary:
Crystal system ... monoclinic
E_form (uncorrected) ... -359 kJ/mol of formula units

(6)
Here is a relaxed Pa4Zn3O12 crystal from Alexandria. Energies are from PBE-GGA.

POSCAR file:
```
Pa4Zn3O12
1.0
-4.127 4.127 4.127
4.127 -4.127 4.127
4.127 4.127 -4.127
Pa Zn O
4 3 12
direct
0.000 0.000 0.500 Pa
0.000 0.500 0.000 Pa
0.500 0.000 0.000 Pa
0.500 0.500 0.500 Pa
0.000 0.500 0.500 Zn
0.500 0.000 0.500 Zn
0.500 0.500 0.000 Zn
0.147 0.826 0.322 O
0.174 0.322 0.496 O
0.174 0.678 0.853 O
0.322 0.147 0.826 O
0.322 0.496 0.174 O
0.496 0.174 0.322 O
0.504 0.826 0.678 O
0.678 0.504 0.826 O
0.678 0.853 0.174 O
0.826 0.322 0.147 O
0.826 0.678 0.504 O
0.853 0.174 0.678 O
```

Summary:
Crystal system ... cubic
E_form (uncorrected) ... -5102 kJ/mol of formula units